The following is a DFT calculation (PBE-GGA) of an optimized crystal structure of SrMg2Cd2In.

Geometry as POSCAR:
```
SrMg2Cd2In
1.0
5.086 0.000 0.000
-2.543 4.404 0.000
0.000 0.000 7.070
In Sr Cd Mg
1 1 2 2
Cartesian
0.000 0.000 3.535 In
0.000 0.000 0.000 Sr
0.000 2.936 1.682 Cd
2.543 1.468 5.389 Cd
2.543 1.468 2.231 Mg
0.000 2.936 4.839 Mg
```

## Properties
total DFT energy (no corrections) = -1.77 eV/atom
ΔE_f = -200 meV/atom
space group = No. 164